P) ThFeMo | PBE | relaxed

Output
Symmetry   F-43m, No. 216
Total magnetization   1.5 Bohr magnetons per cell

The structure in POSCAR format:
```
ThFeMo
1.0
0.000 3.134 3.134
3.134 0.000 3.134
3.134 3.134 0.000
Th Fe Mo
1 1 1
Cartesian
0.000 0.000 0.000
4.701 4.701 4.701
3.134 3.134 3.134
```



Q) ThFeMo | PBE | relaxed

Output
Symmetry   F-43m, No. 216
Total magnetization   0.0 Bohr magnetons per cell

The structure in POSCAR format:
```
ThFeMo
1.0
0.000 3.092 3.092
3.092 0.000 3.092
3.092 3.092 0.000
Th Fe Mo
1 1 1
Cartesian
0.000 0.000 0.000
1.546 1.546 1.546
4.638 4.638 4.638
```



The structure with the greatest stability is P).



P) YTlFeMo | PBE | relaxed

Output
Symmetry   F-43m, No. 216
Total magnetization   2.8 Bohr magnetons per cell

The structure in POSCAR format:
```
YTlFeMo
1.0
0.000 3.393 3.393
3.393 0.000 3.393
3.393 3.393 0.000
Y Tl Fe Mo
1 1 1 1
Cartesian
0.000 0.000 0.000
1.696 1.696 1.696
3.393 3.393 3.393
5.089 5.089 5.089
```



Q) YTlFeMo | PBE | relaxed

Output
Symmetry   F-43m, No. 216
Total magnetization   3.9 Bohr magnetons per cell

The structure in POSCAR format:
```
YTlFeMo
1.0
0.000 3.387 3.387
3.387 0.000 3.387
3.387 3.387 0.000
Y Tl Fe Mo
1 1 1 1
Cartesian
0.000 0.000 0.000
3.387 3.387 3.387
5.080 5.080 5.080
1.693 1.693 1.693
```



The structure with the greatest stability is Q).



P) UFeMo | PBE | relaxed

Output
Symmetry   F-43m, No. 216
Total magnetization   1.3 Bohr magnetons per cell

The structure in POSCAR format:
```
UFeMo
1.0
0.000 2.989 2.989
2.989 0.000 2.989
2.989 2.989 0.000
U Fe Mo
1 1 1
Cartesian
0.000 0.000 0.000
1.494 1.494 1.494
2.989 2.989 2.989
```



Q) UFeMo | PBE | relaxed

Output
Symmetry   F-43m, No. 216
Total magnetization   1.4 Bohr magnetons per cell

The structure in POSCAR format:
```
UFeMo
1.0
0.000 3.016 3.016
3.016 0.000 3.016
3.016 3.016 0.000
U Fe Mo
1 1 1
Cartesian
0.000 0.000 0.000
4.523 4.523 4.523
1.508 1.508 1.508
```



The structure with the greatest stability is P).



P) YZnFeMo | PBE | relaxed

Output
Symmetry   F-43m, No. 216
Total magnetization   3.4 Bohr magnetons per cell

The structure in POSCAR format:
```
YZnFeMo
1.0
0.000 3.249 3.249
3.249 0.000 3.249
3.249 3.249 0.000
Y Zn Fe Mo
1 1 1 1
Cartesian
0.000 0.000 0.000
3.249 3.249 3.249
4.873 4.873 4.873
1.624 1.624 1.624
```



Q) YZnFeMo | PBE | relaxed

Output
Symmetry   F-43m, No. 216
Total magnetization   0.3 Bohr magnetons per cell

The structure in POSCAR format:
```
YZnFeMo
1.0
0.000 3.196 3.196
3.196 0.000 3.196
3.196 3.196 0.000
Y Zn Fe Mo
1 1 1 1
Cartesian
0.000 0.000 0.000
1.598 1.598 1.598
3.196 3.196 3.196
4.794 4.794 4.794
```



The structure with the greatest stability is Q).



P) Fe7N3 | PBE | relaxed

Output
Symmetry   Cmc2_1, No. 36
Total magnetization   23.1 Bohr magnetons per cell

The structure in POSCAR format:
```
Fe7N3
1.0
8.189 -2.308 0.000
8.189 2.308 0.000
0.000 0.000 4.931
Fe N
14 6
Cartesian
2.246 0.334 3.591
8.189 1.967 2.466
4.681 0.489 2.830
2.246 -0.334 1.125
6.975 0.353 4.323
4.681 -0.489 0.365
9.403 0.353 4.323
6.975 -0.353 1.858
11.698 0.489 2.830
9.403 -0.353 1.858
14.133 0.334 3.591
11.698 -0.489 0.365
8.189 -1.967 0.000
14.133 -0.334 1.125
5.232 1.148 4.524
8.189 0.844 0.892
11.147 1.148 4.524
5.232 -1.148 2.058
8.189 -0.844 3.358
11.147 -1.148 2.058
```



Q) Fe7N3 | PBE | relaxed

Output
Symmetry   C2/m, No. 12
Total magnetization   11.9 Bohr magnetons per cell

The structure in POSCAR format:
```
Fe7N3
1.0
4.204 -1.296 0.000
4.204 1.296 0.000
-1.990 0.000 8.562
Fe N
7 3
Cartesian
0.000 0.000 0.000
0.003 0.000 2.470
0.226 0.000 4.960
2.244 0.000 1.292
4.173 0.000 7.270
6.191 0.000 3.603
6.414 0.000 6.093
1.468 0.000 7.255
3.209 0.000 4.281
4.949 0.000 1.308
```



R) Fe7N3 | PBE | relaxed

Output
Symmetry   P6_3mc, No. 186
Total magnetization   31.3 Bohr magnetons per cell

The structure in POSCAR format:
```
Fe7N3
1.0
7.438 0.000 0.000
-3.719 6.441 0.000
0.000 0.000 4.050
Fe N
14 6
Cartesian
-1.256 3.569 0.000
0.000 1.830 2.031
-2.135 5.527 2.031
1.584 0.915 0.006
0.000 4.294 2.024
1.256 3.569 0.000
0.000 5.745 0.000
3.719 0.696 2.025
2.463 2.873 2.025
3.719 2.147 4.049
2.135 5.527 2.031
5.854 0.915 0.006
3.719 4.612 0.006
4.975 2.873 2.025
0.000 2.091 0.005
-1.908 5.396 0.005
1.811 1.045 2.030
1.908 5.396 0.005
5.627 1.045 2.030
3.719 4.351 2.030
```



The structure with the greatest stability is P).



P) NaFeN | PBE | relaxed

Output
Symmetry   R-3m, No. 166
Total magnetization   0.2 Bohr magnetons per cell

The structure in POSCAR format:
```
NaFeN
1.0
1.494 0.863 10.015
-1.494 0.863 10.015
0.000 -1.726 10.015
Na Fe N
2 2 2
Cartesian
0.000 0.000 1.552
0.000 0.000 28.493
0.000 0.000 6.102
0.000 0.000 23.943
0.000 0.000 13.410
0.000 0.000 16.635
```



Q) NaFeN | PBE | relaxed

Output
Symmetry   C2/m, No. 12
Total magnetization   0.0 Bohr magnetons per cell

The structure in POSCAR format:
```
NaFeN
1.0
5.655 -1.759 0.000
5.655 1.759 0.000
-2.096 0.000 4.416
Na Fe N
2 2 2
Cartesian
0.381 0.000 1.531
8.832 0.000 2.885
3.522 0.000 0.342
5.692 0.000 4.074
-0.241 0.000 3.938
9.455 0.000 0.478
```



The structure with the greatest stability is Q).